Entry from Alexandria via LeMat-Bulk: an optimized crystal structure of MnSbPO2 (GGA-PBEsol).

Cell: 3.7669 3.7669 4.6985 Å, 90.00 90.00 90.00°
Site moments in Bohr magnetons follow the coordinates.
Element x y z (fractional)
Sb 0.5000 0.5000 0.5000  0.06
O 0.5000 0.0000 0.0000  0.08
O 0.0000 0.5000 0.0000  0.08
P 0.0000 0.0000 0.5000  -0.06
Mn 0.0000 0.0000 0.0000  2.71

Summary:
As for the space-group type: P4/mmm (123). The volume comes out at 67 Å³/f.u. Its final energy is -33.56 eV/cell. The calculation puts the density of states at the Fermi level at 1.28 states/eV/cell. The value obtained for the size of the total moment is 3.05 μB/f.u.

=====

Entry from Alexandria via LeMat-Bulk: an optimized crystal structure of MnSb3P6O24 (GGA-PBEsol).

Cell: 8.2940 8.2940 8.8796 Å, 62.16 62.16 60.00°
Site moments in Bohr magnetons follow the coordinates.
Element x y z (fractional)
O 0.2566 0.8846 0.7310  0.02
O 0.1970 0.9932 0.4259  0.03
O 0.7851 0.8389 0.9003  0.00
O 0.1118 0.8775 0.2642  0.00
O 0.5278 0.2147 0.0963  0.00
O 0.7893 0.0155 0.5744  0.00
Sb 0.8568 0.8568 0.4296  0.00
O 0.1277 0.2566 0.7310  0.02
Mn 0.1420 0.1420 0.5739  3.57
O 0.8846 0.1277 0.7310  0.02
O 0.9932 0.3839 0.4259  0.03
O 0.3839 0.1970 0.4259  0.03
Sb 0.3505 0.3505 0.9485  0.00
O 0.8208 0.5144 0.2040  0.00
P 0.2458 0.9652 0.2528  0.01
P 0.0408 0.4553 0.7515  0.01
O 0.4757 0.7851 0.9003  0.00
O 0.6209 0.7893 0.5744  0.00
P 0.9652 0.5362 0.2528  0.01
O 0.4923 0.5328 0.7985  0.00
O 0.1764 0.4923 0.7985  0.00
O 0.4608 0.8208 0.2040  0.00
O 0.2147 0.1612 0.0963  0.00
O 0.0155 0.6209 0.5744  0.00
O 0.5328 0.1764 0.7985  0.00
O 0.8775 0.7464 0.2642  0.00
O 0.8389 0.4757 0.9003  0.00
O 0.7464 0.1118 0.2642  0.00
O 0.5144 0.4608 0.2040  0.00
P 0.7524 0.0408 0.7515  0.01
P 0.5362 0.2458 0.2528  0.01
O 0.1612 0.5278 0.0963  0.00
Sb 0.6496 0.6496 0.0511  0.01
P 0.4553 0.7524 0.7515  0.01

Summary:
As for the space-group type: R3 (146). The volume comes out at 445 Å³/f.u. Its final energy is -248.51 eV/cell. The calculation puts the density of states at the Fermi level at 6.63 states/eV/cell. The value obtained for the size of the total moment is 4.00 μB/f.u.

=====

Entry from Alexandria via LeMat-Bulk: an optimized crystal structure of Mn2V3SbP6O24 (GGA-PBEsol).

Cell: 8.8630 8.8630 9.5619 Å, 62.39 62.39 60.00°
Site moments in Bohr magnetons follow the coordinates.
Element x y z (fractional)
O 0.9527 0.4592 0.8148  0.04
P 0.7167 0.1312 0.8446  0.01
O 0.6267 0.0274 0.5416  0.00
O 0.6439 0.6138 0.3946  0.03
O 0.2547 0.9769 0.3814  0.01
O 0.3227 0.3450 0.7154  0.00
O 0.4592 0.7733 0.8148  0.04
O 0.7733 0.9527 0.8148  0.04
Sb 0.7050 0.7050 0.8850  0.04
P 0.8443 0.5695 0.3887  0.00
O 0.6169 0.3227 0.7154  0.00
V 0.6004 0.6004 0.1989  0.03
O 0.9003 0.7385 0.2362  0.00
O 0.6138 0.3476 0.3946  0.03
O 0.8151 0.6103 0.0813  0.00
O 0.8043 0.6267 0.5416  0.00
O 0.3870 0.2547 0.3814  0.01
O 0.3476 0.6439 0.3946  0.03
P 0.1312 0.3075 0.8446  0.01
O 0.0274 0.8043 0.5416  0.00
O 0.1251 0.9003 0.2362  0.00
Mn 0.4812 0.4812 0.5563  3.17
O 0.7385 0.1251 0.2362  0.00
O 0.1606 0.3248 0.9960  0.02
O 0.9769 0.3870 0.3814  0.01
P 0.3075 0.7167 0.8446  0.01
O 0.3450 0.6169 0.7154  0.00
O 0.4933 0.8151 0.0813  0.00
V 0.3666 0.3666 0.9004  0.02
V 0.8299 0.8299 0.5104  -0.01
P 0.1976 0.8443 0.3887  0.00
Mn 0.9115 0.9115 0.2654  0.03
O 0.5185 0.1606 0.9960  0.02
O 0.6103 0.4933 0.0813  0.00
P 0.5695 0.1976 0.3887  0.00
O 0.3248 0.5185 0.9960  0.02

Summary:
As for the space-group type: R3 (146). The volume comes out at 549 Å³/f.u. Its final energy is -274.90 eV/cell. The calculation puts the density of states at the Fermi level at 4.40 states/eV/cell. The value obtained for the size of the total moment is 3.75 μB/f.u.

=====

Entry from Alexandria via LeMat-Bulk: an optimized crystal structure of Mn7SnP12O48 (GGA-PBEsol).

Cell: 8.1076 8.4056 11.4045 Å, 89.73 89.17 90.03°
Site moments in Bohr magnetons follow the coordinates.
Element x y z (fractional)
O 0.3614 0.4985 0.7428  0.01
O 0.5764 0.9196 0.3182  -0.02
O 0.5953 0.1261 0.9183  0.02
O 0.9255 0.4202 0.1841  0.00
O 0.8908 0.8071 0.8461  0.01
P 0.8987 0.6247 0.8612  0.01
Mn 0.2449 0.5313 0.3830  2.40
O 0.0710 0.8879 0.1063  0.01
P 0.1050 0.3793 0.1486  0.01
O 0.3819 0.6966 0.3338  -0.01
Mn 0.2490 0.4686 0.8815  2.26
O 0.3701 0.9140 0.4827  -0.01
O 0.0683 0.8874 0.5506  -0.01
O 0.2237 0.4777 0.2244  -0.01
O 0.5579 0.6278 0.6035  0.00
O 0.3179 0.6644 0.9389  0.00
O 0.2796 0.9777 0.2750  -0.01
O 0.9270 0.1127 0.8977  0.00
O 0.4329 0.1780 0.1095  -0.01
O 0.6410 0.0760 0.5217  0.02
O 0.4335 0.3715 0.9365  0.01
O 0.3092 0.7803 0.6862  -0.02
O 0.8172 0.8349 0.4370  -0.02
P 0.1090 0.1169 0.8566  0.01
O 0.7250 0.0083 0.7268  0.00
P 0.3969 0.8785 0.3519  0.01
P 0.3765 0.6203 0.6419  0.01
O 0.1261 0.0088 0.7491  0.01
O 0.0725 0.5756 0.8200  0.01
O 0.4059 0.8715 0.0801  0.03
O 0.1617 0.2852 0.8176  -0.02
Mn 0.7527 0.5312 0.1197  2.24
P 0.9717 0.7562 0.4875  0.01
O 0.4249 0.3900 0.3967  -0.01
O 0.6522 0.2120 0.3166  -0.01
O 0.0915 0.3756 0.4164  0.01
O 0.7681 0.5341 0.7926  0.01
O 0.2631 0.5685 0.5411  -0.01
P 0.5357 0.2514 0.0070  0.01
O 0.9434 0.3110 0.6123  0.01
O 0.7275 0.4367 0.4472  0.00
P 0.4682 0.7497 0.9894  0.01
Mn 0.7491 0.0312 0.3808  2.27
O 0.7690 0.9283 0.0452  -0.02
O 0.9219 0.6382 0.5831  0.00
Mn 0.2501 0.9707 0.6155  2.16
O 0.8644 0.0045 0.2436  0.00
O 0.0721 0.6834 0.3843  -0.02
O 0.8338 0.7167 0.1900  -0.03
Sn 0.7510 0.4722 0.6215  0.01
O 0.5733 0.6296 0.0572  0.00
O 0.1979 0.1645 0.5481  0.01
O 0.1216 0.1972 0.1645  0.00
O 0.1369 0.4212 0.0194  -0.01
O 0.6884 0.3368 0.0541  -0.01
P 0.6066 0.1085 0.6514  0.01
Mn 0.2551 0.0300 0.1141  2.48
P 0.0391 0.2467 0.5060  0.01
O 0.6140 0.2864 0.6788  -0.01
O 0.5699 0.8236 0.8867  -0.01
O 0.4270 0.0612 0.6832  0.00
P 0.8882 0.8824 0.1448  0.01
O 0.8798 0.5864 0.9924  -0.01
O 0.6219 0.4923 0.2466  0.03
O 0.2276 0.0647 0.9549  0.00
P 0.6066 0.3823 0.3543  0.01
Mn 0.7476 0.9687 0.8870  2.40
O 0.9362 0.1287 0.4338  -0.01

Summary:
As for the space-group type: P1 (1). The volume comes out at 777 Å³/f.u. Its final energy is -520.74 eV/cell. The calculation puts the density of states at the Fermi level at 27.53 states/eV/cell. The value obtained for the size of the total moment is 16.93 μB/f.u.

=====

Entry from Alexandria via LeMat-Bulk: an optimized crystal structure of MnSnP2O8 (GGA-PBEsol).

Cell: 4.9637 5.9829 10.0434 Å, 90.00 91.04 90.00°
Site moments in Bohr magnetons follow the coordinates.
Element x y z (fractional)
O 0.7739 0.9489 0.1691  0.03
O 0.2261 0.0511 0.8309  0.03
O 0.2261 0.4489 0.8309  0.03
O 0.3480 0.2500 0.0524  0.03
O 0.8023 0.2500 0.3904  0.03
O 0.6520 0.7500 0.9476  0.03
O 0.2465 0.4538 0.3404  0.02
O 0.8150 0.7500 0.4403  0.01
Sn 0.9416 0.2500 0.7196  0.03
Mn 0.4333 0.7500 0.7768  4.46
O 0.6817 0.2500 0.8709  0.01
P 0.8964 0.7500 0.5899  0.01
O 0.7535 0.9538 0.6596  0.02
Mn 0.5667 0.2500 0.2232  4.46
O 0.3183 0.7500 0.1291  0.01
P 0.1036 0.2500 0.4101  0.01
O 0.2465 0.0462 0.3404  0.02
O 0.7535 0.5462 0.6596  0.02
O 0.7739 0.5511 0.1691  0.03
P 0.6202 0.7500 0.0960  0.01
O 0.1977 0.7500 0.6096  0.03
Sn 0.0584 0.7500 0.2804  0.03
P 0.3798 0.2500 0.9040  0.01
O 0.1850 0.2500 0.5597  0.01

Summary:
As for the space-group type: P2_1/m (11). The volume comes out at 149 Å³/f.u. Its final energy is -181.69 eV/cell. The calculation puts the density of states at the Fermi level at 2.49 states/eV/cell. The value obtained for the size of the total moment is 5.00 μB/f.u.

=====

Entry from Alexandria via LeMat-Bulk: an optimized crystal structure of Mn3VSn2P6O24 (GGA-PBEsol).

Cell: 8.5378 8.5378 8.7399 Å, 60.76 60.76 60.00°
Site moments in Bohr magnetons follow the coordinates.
Element x y z (fractional)
O 0.7381 0.8948 0.2729  -0.01
O 0.2985 0.5256 0.0779  0.04
O 0.7627 0.4249 0.2913  0.02
O 0.0153 0.1677 0.4312  0.05
O 0.5791 0.4808 0.7024  0.02
P 0.4615 0.0485 0.7363  0.02
P 0.9514 0.2469 0.2645  0.02
O 0.5211 0.7627 0.2913  0.02
Sn 0.0039 0.0039 0.9882  0.00
O 0.6971 0.4786 0.9221  0.02
O 0.6162 0.9783 0.5729  0.00
P 0.7537 0.4615 0.7363  0.02
O 0.5256 0.0981 0.0779  0.04
O 0.9060 0.2594 0.7350  0.00
P 0.0485 0.7537 0.7363  0.02
O 0.0942 0.7381 0.2729  -0.01
O 0.9022 0.6971 0.9221  0.02
O 0.2594 0.0997 0.7350  0.00
Mn 0.3492 0.3492 0.9525  4.43
Mn 0.6509 0.6509 0.0474  4.33
Mn 0.1471 0.1471 0.5587  3.06
O 0.2377 0.5791 0.7024  0.02
O 0.0997 0.9060 0.7350  0.00
O 0.0981 0.2985 0.0779  0.04
O 0.3857 0.0153 0.4312  0.05
Sn 0.5008 0.5008 0.4977  0.03
P 0.5372 0.9514 0.2645  0.02
O 0.4249 0.5211 0.2913  0.02
P 0.2469 0.5372 0.2645  0.02
O 0.1677 0.3857 0.4312  0.05
O 0.9783 0.8326 0.5729  0.00
O 0.8948 0.0942 0.2729  -0.01
O 0.4786 0.9022 0.9221  0.02
O 0.4808 0.2377 0.7024  0.02
O 0.8326 0.6162 0.5729  0.00
V 0.8546 0.8546 0.4363  0.83

Summary:
As for the space-group type: R3 (146). The volume comes out at 456 Å³/f.u. Its final energy is -279.15 eV/cell. The calculation puts the density of states at the Fermi level at 6.55 states/eV/cell. The value obtained for the size of the total moment is 14.00 μB/f.u.